# 1
Density functional theory data (PBE) for a relaxed structure of NbIBr2F6.

Geometry as CIF:
```
data_NbIBr2F6
_chemical_formula_sum 'Nb8 I8 Br16 F48'
_cell_length_a 10.2964
_cell_length_b 11.2450
_cell_length_c 12.7744
_cell_angle_alpha 90.00
_cell_angle_beta 90.00
_cell_angle_gamma 90.00
_symmetry_space_group_name_H-M 'C m c e'
_symmetry_Int_Tables_number 64
_symmetry_space_group_name_Hall '-C 2ac 2'
loop_
_atom_site_label
_atom_site_fract_x
_atom_site_fract_y
_atom_site_fract_z
Nb1 0.0000 0.1886 0.0612
I1 0.2500 0.0891 0.7500
Br1 0.1595 0.0534 0.3739
F1 0.0000 0.0337 0.1227
F2 0.0000 0.1471 0.5145
F3 0.1296 0.2409 0.1646
F4 0.1362 0.1589 0.9636
```

# 2
Density functional theory data (PBE) for a relaxed structure of K3IrBrF6.

Geometry as CIF:
```
data_K3IrBrF6
_chemical_formula_sum 'K6 Ir2 Br2 F12'
_cell_length_a 7.9676
_cell_length_b 7.9676
_cell_length_c 5.8800
_cell_angle_alpha 90.00
_cell_angle_beta 90.00
_cell_angle_gamma 90.00
_symmetry_space_group_name_H-M 'P 4/m b m'
_symmetry_Int_Tables_number 127
_symmetry_space_group_name_Hall '-P 4 2ab'
loop_
_atom_site_label
_atom_site_fract_x
_atom_site_fract_y
_atom_site_fract_z
K1 0.0000 0.0000 0.0000
K2 0.1682 0.3318 0.5000
Ir1 0.0000 0.5000 0.0000
Br1 0.0000 0.0000 0.5000
F1 0.1183 0.6183 0.2464
F2 0.1739 0.3261 0.0000
```

# 3
Density functional theory data (PBE) for a relaxed structure of K3TaBrF6.

Geometry as CIF:
```
data_K3TaBrF6
_chemical_formula_sum 'K6 Ta2 Br2 F12'
_cell_length_a 7.9902
_cell_length_b 7.9902
_cell_length_c 5.9215
_cell_angle_alpha 90.00
_cell_angle_beta 90.00
_cell_angle_gamma 90.00
_symmetry_space_group_name_H-M 'P 4/m b m'
_symmetry_Int_Tables_number 127
_symmetry_space_group_name_Hall '-P 4 2ab'
loop_
_atom_site_label
_atom_site_fract_x
_atom_site_fract_y
_atom_site_fract_z
K1 0.0000 0.0000 0.0000
K2 0.1768 0.3232 0.5000
Ta1 0.0000 0.5000 0.0000
Br1 0.0000 0.0000 0.5000
F1 0.1155 0.6155 0.2533
F2 0.1775 0.3225 0.0000
```

# 4
Density functional theory data (PBE) for a relaxed structure of Pr4BrN2F.

Geometry as CIF:
```
data_Pr4BrN2F
_chemical_formula_sum 'Pr4 Br1 N2 F1'
_cell_length_a 3.6644
_cell_length_b 3.6644
_cell_length_c 13.7718
_cell_angle_alpha 90.00
_cell_angle_beta 90.00
_cell_angle_gamma 120.00
_symmetry_space_group_name_H-M 'P -6 m 2'
_symmetry_Int_Tables_number 187
_symmetry_space_group_name_Hall 'P -6 2'
loop_
_atom_site_label
_atom_site_fract_x
_atom_site_fract_y
_atom_site_fract_z
Pr1 0.0000 0.0000 0.1329
Pr2 0.6667 0.3333 0.3299
Br1 0.0000 0.0000 0.5000
N1 0.3333 0.6667 0.2252
F1 0.6667 0.3333 0.0000
```

no.,DFT total energy (eV/atom),total magnetic moment (μB/f.u.)
1,-4.550,0.01
2,-4.303,1.00
3,-5.223,1.00
4,-6.581,0.00